Record 1
Compound: Cu2PbS2
Source: the Open Quantum Materials Database
Functional: GGA-PBE
Structure: relaxed

Geometry as extended XYZ:
```
10
Lattice="-3.4991 4.0114 3.6951 3.4991 -4.0114 3.6951 3.4991 4.0114 -3.6951" Properties=species:S:1:pos:R:3 pbc="T T T"
S 1.4979 5.1930 0.0000
S 2.0012 1.1816 0.0000
Cu 4.2768 0.9870 0.0000
Pb 0.0000 0.0000 5.5426
S 1.4979 2.8298 3.6951
Cu 0.7778 3.0244 0.0000
Pb 0.0000 0.0000 1.8475
Cu -0.7778 3.0244 3.6951
Cu 2.7213 0.9870 3.6951
S 2.0012 -1.1816 3.6951
```

Properties
volume = 20.75 A^3/atom
total energy = -4.052 eV per atom

Record 2
Compound: Cu2PbS2
Source: the Open Quantum Materials Database
Functional: GGA-PBE
Structure: relaxed

Geometry as extended XYZ:
```
20
Lattice="8.6576 0.0000 0.0000 0.0000 8.1725 0.0000 0.0000 0.0000 5.6841" Properties=species:S:1:pos:R:3 pbc="T T T"
S 8.0323 5.0753 4.2631
Cu 2.4633 2.0431 2.8420
Cu 0.6551 3.2709 4.2631
Cu 2.4633 2.0431 0.0000
S 3.1918 3.7313 4.2631
Pb 5.9284 3.2052 4.2631
S 8.0323 7.1834 1.4210
Pb 2.7292 7.2915 4.2631
Cu 8.0025 4.9015 1.4210
S 5.4658 7.8176 4.2631
S 5.4658 4.4411 1.4210
S 0.6253 3.0972 1.4210
Cu 6.1943 6.1293 2.8420
Cu 8.0025 7.3572 4.2631
S 0.6253 0.9890 4.2631
Pb 5.9284 0.8810 1.4210
S 3.1918 0.3549 1.4210
Cu 6.1943 6.1293 0.0000
Cu 0.6551 0.8153 1.4210
Pb 2.7292 4.9672 1.4210
```

Properties
volume = 20.11 A^3/atom
total energy = -4.014 eV per atom